A plane-wave DFT calculation with PBE was carried out for an optimized crystal structure of Rb3Cu2SnBr8.

Unit cell a=7.7748 b=7.7748 c=9.7695 alpha=90.00 beta=90.00 gamma=120.00
Positions (direct):
Rb1 0.3333 0.6667 0.6242
Rb2 0.6667 0.3333 0.3758
Rb3 0.0000 0.0000 0.0000
Cu1 0.3333 0.6667 0.1985
Cu2 0.6667 0.3333 0.8015
Sn1 0.0000 0.0000 0.5000
Br1 0.3333 0.6667 0.9628
Br2 0.6667 0.3333 0.0372
Br3 0.1708 0.8292 0.3230
Br4 0.8292 0.1708 0.6770
Br5 0.1708 0.3417 0.3230
Br6 0.8292 0.6583 0.6770
Br7 0.6583 0.8292 0.3230
Br8 0.3417 0.1708 0.6770

Properties
The energy relative to the elements, uncorrected comes out at -1019 meV/atom. As for the total magnetic moment: 0.000 μB/f.u. The final energy is -42.7 eV/f.u.

A plane-wave DFT calculation with PBE was carried out for an optimized crystal structure of BeTeAs2.

Unit cell a=3.8448 b=4.3091 c=7.1799 alpha=58.62 beta=90.00 gamma=90.00
Positions (direct):
Be1 0.0000 0.6683 0.5195
As1 0.0000 0.8402 0.1675
As2 0.5000 0.2566 0.1262
Te1 0.5000 0.7349 0.6869

Properties
The energy above the most stable polymorph in this dataset comes out at 0 meV per atom. The energy relative to the elements, uncorrected comes out at 54 meV/atom. As for the total magnetic moment: 0.000 μB/f.u. The final energy is -15.9 eV/f.u.

A plane-wave DFT calculation with PBE was carried out for an optimized crystal structure of K3Pb2Cl8.

Unit cell a=8.7002 b=9.0039 c=9.0583 alpha=60.52 beta=60.60 gamma=62.12
Positions (direct):
K1 0.0000 0.0000 0.0000
K2 0.0000 0.5000 0.5000
K3 0.5000 0.5000 0.5000
Pb1 0.5000 0.0000 0.5000
Pb2 0.0000 0.0000 0.5000
Cl1 0.2697 0.2321 0.7068
Cl2 0.7303 0.7679 0.2932
Cl3 0.2104 0.7886 0.2914
Cl4 0.7896 0.2114 0.7086
Cl5 0.7698 0.2093 0.2892
Cl6 0.2302 0.7907 0.7108
Cl7 0.2360 0.2064 0.2975
Cl8 0.7640 0.7936 0.7025

Properties
The energy above the most stable polymorph in this dataset comes out at 0 meV per atom. The energy relative to the elements, uncorrected comes out at -1415 meV/atom. As for the total magnetic moment: 0.452 μB/f.u. The final energy is -43.9 eV/f.u.

A plane-wave DFT calculation with PBE was carried out for an optimized crystal structure of YHg2PPd.

Unit cell a=5.8447 b=5.0779 c=5.8447 alpha=90.00 beta=90.00 gamma=90.00
Positions (direct):
Y1 0.0000 0.0000 0.0000
P1 0.5000 0.5000 0.5000
Hg1 0.0000 0.0000 0.5000
Hg2 0.5000 0.0000 0.0000
Pd1 0.0000 0.5000 0.0000

Properties
The formation energy from the elements is 0.910 eV per atom. As for the total magnetic moment: 1.874 μB/f.u. The final energy is -13.1 eV/f.u.

A plane-wave DFT calculation with PBE was carried out for an optimized crystal structure of La6HoTl5.

Unit cell a=5.1803 b=9.2965 c=9.4992 alpha=119.30 beta=105.82 gamma=90.00
Positions (direct):
Tl1 0.3498 0.8498 0.6996
Tl2 0.6703 0.6703 0.3406
Tl3 0.0000 0.5000 0.0000
Tl4 0.3297 0.3297 0.6594
Tl5 0.6502 0.1502 0.3004
Ho1 0.0000 0.0000 0.0000
La1 0.1729 0.4317 0.3458
La2 0.1729 0.9141 0.3458
La3 0.5000 0.2634 0.0000
La4 0.5000 0.7366 0.0000
La5 0.8271 0.0859 0.6542
La6 0.8271 0.5683 0.6542

Properties
The formation energy from the elements is -0.330 eV per atom. As for the total magnetic moment: 0.000 μB/f.u. The final energy is -49.9 eV/f.u.

A plane-wave DFT calculation with PBE was carried out for an optimized crystal structure of Y2ZrSnN.

Unit cell a=4.8763 b=4.8763 c=4.4422 alpha=90.00 beta=90.00 gamma=90.00
Positions (direct):
Y1 0.0000 0.5000 0.0000
Y2 0.5000 0.0000 0.0000
Sn1 0.5000 0.5000 0.5000
Zr1 0.0000 0.0000 0.5000
N1 0.0000 0.0000 0.0000

Properties
The energy relative to the elements, uncorrected comes out at -980 meV/atom. As for the total magnetic moment: 0.000 μB/f.u. The final energy is -38.7 eV/f.u.

A plane-wave DFT calculation with PBE was carried out for an optimized crystal structure of ZrScCu2.

Unit cell a=6.1246 b=6.1246 c=6.1246 alpha=153.39 beta=55.45 gamma=132.30
Positions (direct):
Zr1 0.5000 0.0000 0.5000
Sc1 0.0000 0.0000 0.0000
Cu1 0.7510 0.0000 0.7510
Cu2 0.2490 0.0000 0.2490

Properties
The energy above the most stable polymorph in this dataset comes out at 817 meV per atom. The formation energy from the elements is 0.636 eV per atom. As for the total magnetic moment: 0.000 μB/f.u. The final energy is -20.5 eV/f.u.

A plane-wave DFT calculation with PBE was carried out for an optimized crystal structure of NaTc2SeF.

Unit cell a=4.1643 b=4.5766 c=4.1643 alpha=90.00 beta=90.00 gamma=90.00
Positions (direct):
Na1 0.0000 0.5000 0.0000
Tc1 0.0000 0.0000 0.5000
Tc2 0.5000 0.0000 0.0000
Se1 0.5000 0.5000 0.5000
F1 0.0000 0.0000 0.0000

Properties
The energy relative to the elements, uncorrected comes out at 436 meV/atom. As for the total magnetic moment: 0.547 μB/f.u. The final energy is -25.2 eV/f.u.

A plane-wave DFT calculation with PBE was carried out for an optimized crystal structure of Mg2ScMn.

Unit cell a=5.4550 b=5.4550 c=3.0289 alpha=90.00 beta=90.00 gamma=114.13
Positions (direct):
Mg1 0.0000 0.0000 0.0000
Mg2 0.5000 0.5000 0.0000
Mn1 0.5000 0.0000 0.5000
Sc1 0.0000 0.5000 0.5000

Properties
The energy above the most stable polymorph in this dataset comes out at 184 meV per atom. The formation energy from the elements is 0.222 eV per atom. As for the total magnetic moment: 2.928 μB/f.u. The final energy is -17.8 eV/f.u.

A plane-wave DFT calculation with PBE was carried out for an optimized crystal structure of LiPrSeCl.

Unit cell a=4.1139 b=4.1139 c=14.3015 alpha=81.73 beta=81.73 gamma=60.00
Positions (direct):
Li1 0.8114 0.8114 0.5660
Li2 0.1887 0.1887 0.4340
Pr1 0.5856 0.5856 0.2432
Pr2 0.4144 0.4144 0.7568
Se1 0.1257 0.1257 0.6228
Se2 0.8743 0.8743 0.3772
Cl1 0.7081 0.7081 0.8757
Cl2 0.2919 0.2919 0.1243

Properties
The energy relative to the elements, uncorrected comes out at -1632 meV/atom. As for the total magnetic moment: 0.000 μB/f.u. The final energy is -18.6 eV/f.u.

Q: What is the final energy in the seventh record?
A: -20.5 eV/f.u.

Q: Which of these has the highest final energy?
A: YHg2PPd

Please write out number 2 again, unchanged.
A plane-wave DFT calculation with PBE was carried out for an optimized crystal structure of BeTeAs2.

Unit cell a=3.8448 b=4.3091 c=7.1799 alpha=58.62 beta=90.00 gamma=90.00
Positions (direct):
Be1 0.0000 0.6683 0.5195
As1 0.0000 0.8402 0.1675
As2 0.5000 0.2566 0.1262
Te1 0.5000 0.7349 0.6869

Properties
The energy above the most stable polymorph in this dataset comes out at 0 meV per atom. The energy relative to the elements, uncorrected comes out at 54 meV/atom. As for the total magnetic moment: 0.000 μB/f.u. The final energy is -15.9 eV/f.u.